No. 1
Nd2Cu2Rh (GGA-PBE, relaxed); energy of formation = -8.445 kcal/mol of atoms; D(E_F) = 7.1 states/eV per cell; raw total energy = -53.82 eV/cell
1.0
4.105 0.000 0.000
2.052 5.283 -0.298
2.052 0.328 10.088
Nd Cu Rh
4 4 2
Direct
0.693 0.258 0.355
0.917 0.285 0.882
0.307 0.742 0.645
0.083 0.715 0.118
0.054 0.320 0.573
0.623 0.860 0.893
0.946 0.680 0.427
0.377 0.140 0.107
0.587 0.139 0.686
0.413 0.861 0.314

---

No. 2
LiMgCuPb (GGA-PBE, relaxed); energy of formation = -2.317 kcal/mol of atoms; D(E_F) = 1.1 states/eV per cell; raw total energy = -11.71 eV/cell
1.0
4.698 0.000 0.000
2.349 4.069 0.000
2.349 1.356 3.836
Pb Mg Cu Li
1 1 1 1
Direct
0.000 0.000 0.000
0.500 0.500 0.500
0.250 0.250 0.250
0.750 0.750 0.750

---

No. 3
Na3Tl3Pd (GGA-PBE, relaxed); energy of formation = -2.301 kcal/mol of atoms; excess energy over the best structure of this formula in the dataset = 0.011 eV per atom; D(E_F) = 5.4 states/eV per cell; raw total energy = -33.89 eV/cell
1.0
6.801 0.539 -0.553
-2.114 6.486 -0.553
0.019 0.029 8.599
Na Tl Pd
6 6 2
Direct
0.389 0.389 0.675
0.168 0.832 0.500
0.832 0.168 0.500
0.262 0.738 0.000
0.738 0.262 0.000
0.611 0.611 0.325
0.067 0.067 0.827
0.435 0.109 0.270
0.109 0.435 0.270
0.565 0.891 0.730
0.891 0.565 0.730
0.933 0.933 0.173
0.343 0.343 0.034
0.657 0.657 0.966

---

No. 4
LaGa3PdRh (GGA-PBE, relaxed); energy of formation = -12.492 kcal/mol of atoms; D(E_F) = 6.4 states/eV per cell; raw total energy = -59.60 eV/cell
1.0
-5.523 0.014 -2.519
-1.880 -6.256 4.087
-0.925 6.371 2.063
La Ga Pd Rh
2 6 2 2
Direct
0.750 0.246 0.493
0.250 0.754 0.507
0.250 0.243 0.487
0.000 0.249 0.000
0.500 0.751 0.000
0.500 0.249 0.000
0.000 0.751 0.000
0.750 0.757 0.513
0.250 0.458 0.916
0.750 0.542 0.084
0.250 0.032 0.063
0.750 0.968 0.937

---

No. 5
Hf2BeZnRh2 (GGA-PBE, relaxed); energy of formation = -13.961 kcal/mol of atoms; D(E_F) = 7.2 states/eV per cell; raw total energy = -86.48 eV/cell
1.0
-2.047 -1.768 -4.704
-0.346 -4.857 1.976
-5.005 4.648 3.561
Hf Be Zn Rh
4 2 2 4
Direct
0.370 0.174 0.348
0.630 0.826 0.652
0.023 0.326 0.652
0.977 0.674 0.348
0.500 0.750 0.000
0.500 0.250 0.000
0.000 0.750 0.000
0.000 0.250 0.000
0.815 0.127 0.255
0.439 0.627 0.255
0.561 0.373 0.745
0.185 0.873 0.745

---

No. 6
Ba2LiPt (GGA-PBE, relaxed); energy of formation = -9.625 kcal/mol of atoms; D(E_F) = 3.0 states/eV per cell; raw total energy = -13.47 eV/cell
1.0
-3.396 -2.433 2.007
2.804 -3.787 0.154
3.466 -0.163 5.668
Ba Pt Li
2 1 1
Direct
0.000 0.990 0.894
0.500 0.270 0.335
0.500 0.568 0.739
0.000 0.672 0.532

---

No. 7
Ba4AgAu (GGA-PBE, relaxed); energy of formation = -7.137 kcal/mol of atoms; excess energy over the best structure of this formula in the dataset = 0.000 eV per atom; D(E_F) = 10.6 states/eV per cell; raw total energy = -31.35 eV/cell
1.0
8.245 -0.584 0.000
-2.035 8.026 0.000
-3.105 -3.721 9.356
Ba Ag Au
8 2 2
Direct
0.307 0.053 0.621
0.056 0.812 0.113
0.186 0.431 0.379
0.443 0.700 0.887
0.693 0.947 0.379
0.814 0.569 0.621
0.944 0.188 0.887
0.557 0.300 0.113
0.321 0.571 0.142
0.679 0.429 0.858
0.819 0.069 0.138
0.181 0.931 0.862

---

No. 8
CoRe2Ni (GGA-PBE, relaxed); energy of formation = 4.513 kcal/mol of atoms; excess energy over the best structure of this formula in the dataset = 0.242 eV per atom; D(E_F) = 5.1 states/eV per cell; raw total energy = -37.00 eV/cell
1.0
-0.017 1.859 3.773
-3.211 -0.633 2.643
0.563 -2.300 3.481
Co Re Ni
1 2 1
Direct
0.500 0.500 0.500
0.000 0.000 0.000
0.250 0.250 0.250
0.750 0.750 0.750